# 1
Computed, not measured: a relaxed SmEr3 crystal at the PBE level of DFT.

Lattice parameters (Å, degrees): 6.122 6.122 6.122 131.79 131.79 70.56
Sites, in units of the cell vectors:
Sm  0.000  0.000  0.000
Er  0.750  0.250  0.500
Er  0.250  0.750  0.500
Er  0.500  0.500  0.000

Properties
The value obtained for the energy above the most stable polymorph in this dataset is 0.014 eV/atom.



# 2
Computed, not measured: a relaxed SmEr crystal at the PBE level of DFT.

Lattice parameters (Å, degrees): 4.024 4.024 4.024 90.00 90.00 90.00
Sites, in units of the cell vectors:
Sm  0.500  0.500  0.500
Er  0.000  0.000  0.000

Properties
The value obtained for the energy above the most stable polymorph in this dataset is 0.099 eV/atom.



# 3
Computed, not measured: a relaxed Sm3Er4 crystal at the PBE level of DFT.

Lattice parameters (Å, degrees): 3.558 5.022 12.838 101.28 97.97 90.00
Sites, in units of the cell vectors:
Sm  0.857  0.357  0.714
Sm  0.000  0.500  0.000
Sm  0.143  0.643  0.286
Er  0.715  0.215  0.430
Er  0.285  0.785  0.570
Er  0.428  0.928  0.857
Er  0.572  0.072  0.143

Properties
The value obtained for the energy above the most stable polymorph in this dataset is 0.000 eV/atom.



# 4
Computed, not measured: a relaxed Sm4Er crystal at the PBE level of DFT.

Lattice parameters (Å, degrees): 3.604 3.604 14.811 83.08 83.08 60.00
Sites, in units of the cell vectors:
Sm  0.200  0.200  0.399
Sm  0.800  0.800  0.601
Sm  0.601  0.601  0.197
Sm  0.399  0.399  0.803
Er  0.000  0.000  0.000

Properties
The value obtained for the energy above the most stable polymorph in this dataset is 0.000 eV/atom.



Number 1: DFT formation energy 0.021 eV per atom. Number 2: DFT formation energy 0.114 eV per atom. Number 3: DFT formation energy 0.020 eV per atom. Number 4: DFT formation energy 0.014 eV per atom.